Compound: Ta2ZnFeO
Source: the Alexandria database
Functional: PBE+U
Structure: relaxed

Cell and atoms, written as POSCAR:
```
Ta2ZnFeO
1.0
4.724 0.000 0.000
0.000 4.724 0.000
0.000 0.000 4.477
Ta Zn Fe O
2 1 1 1
Direct
0.000 0.500 0.000 Ta
0.500 0.000 0.000 Ta
0.000 0.000 0.000 Zn
0.000 0.000 0.500 Fe
0.500 0.500 0.500 O
```

Output
E_tot: -26.4 eV/f.u.